# TbZnTe3 PBE optimized geometry
data_TbZnTe3
_cell_length_a 4.145
_cell_length_b 15.248
_cell_length_c 9.704
_cell_angle_alpha 90.00
_cell_angle_beta 90.00
_cell_angle_gamma 90.00
_symmetry_space_group_name_H-M 'C m c m'
_symmetry_Int_Tables_number 63
_symmetry_space_group_name_Hall '-C 2c 2'
loop_
_atom_site_label
_atom_site_fract_x
_atom_site_fract_y
_atom_site_fract_z
Tb1 0.000 0.237 0.250
Zn1 0.000 0.028 0.750
Te1 0.000 0.158 0.567
Te2 0.000 0.418 0.750
# ΔE_f (raw) = -3.6 eV/f.u.


# Tb7Zn2Te2 PBE optimized geometry
data_Tb7Zn2Te2
_cell_length_a 3.992
_cell_length_b 14.852
_cell_length_c 10.471
_cell_angle_alpha 90.00
_cell_angle_beta 90.00
_cell_angle_gamma 90.00
_symmetry_space_group_name_H-M 'I m m 2'
_symmetry_Int_Tables_number 44
loop_
_symmetry_equiv_pos_as_xyz
'x,y,z'
'-x,-y,z'
'-x,y,z'
'x,-y,z'
'x+1/2,y+1/2,z+1/2'
'-x+1/2,-y+1/2,z+1/2'
'-x+1/2,y+1/2,z+1/2'
'x+1/2,-y+1/2,z+1/2'
loop_
_atom_site_label
_atom_site_fract_x
_atom_site_fract_y
_atom_site_fract_z
Tb1 0.000 0.000 0.000
Tb2 0.000 0.118 0.598
Tb3 0.000 0.311 0.357
Tb4 0.000 0.379 0.762
Zn1 0.000 0.000 0.370
Zn2 0.000 0.500 0.263
Te1 0.000 0.219 0.080
# ΔE_f (raw) = -5.9 eV/f.u.